Crystalline CaEr2Zn6 at its relaxed geometry, computed with GGA-PBE.

The calculation puts the formation energy at -0.34 eV/atom.

The structure belongs to space group P6/mmm (No. 191); the cell edges are 7.7835, 7.7835 and 3.4658 Å and the angles 90.00°, 90.00° and 120.00°. The asymmetric unit holds Ca at (0.0000, 0.0000, 0.0000), Er at (0.3333, 0.6667, 0.0000) and Zn at (0.0000, 0.3351, 0.5000).

Crystalline CaErZn at its relaxed geometry, computed with GGA-PBE.

The calculation puts the formation energy at 0.04 eV/atom.

The structure belongs to space group P3m1 (No. 156); the cell edges are 5.0566, 5.0566 and 3.7927 Å and the angles 90.00°, 90.00° and 120.00°. The asymmetric unit holds Ca at (0.0000, 0.0000, 0.0000), Er at (0.6667, 0.3333, 0.5251) and Zn at (0.3333, 0.6667, 0.3365).

Crystalline CaEr2Zn2 at its relaxed geometry, computed with GGA-PBE.

The calculation puts the formation energy at -0.13 eV/atom.

The structure belongs to space group Cmmm (No. 65); the cell edges are 3.622, 20.179 and 3.544 Å and the angles 90.00°, 90.00° and 90.00°. The asymmetric unit holds Ca at (0.000, 0.000, 0.000), Er at (0.000, 0.175, 0.000) and Zn at (0.000, 0.403, 0.500).

Crystalline Ca2ErZn at its relaxed geometry, computed with GGA-PBE.

The calculation puts the formation energy at 0.21 eV/atom.

The structure belongs to space group R-3m (No. 166, hexagonal axes); the cell edges are 3.5952, 3.5952 and 34.4766 Å and the angles 90.00°, 90.00° and 120.00°. The asymmetric unit holds Ca at (0.0000, 0.0000, 0.0997), Er at (0.0000, 0.0000, 0.0000) and Zn at (0.0000, 0.0000, 0.5000).

Crystalline Ca2ErZn3 at its relaxed geometry, computed with GGA-PBE.

The calculation puts the formation energy at -0.28 eV/atom.

The structure belongs to space group Cmmm (No. 65); the cell edges are 5.139, 15.325 and 7.257 Å and the angles 90.00°, 90.00° and 90.00°. The asymmetric unit holds Ca at (0.000, 0.000, 0.000), Ca at (0.000, 0.000, 0.500), Ca at (0.000, 0.334, 0.000), Er at (0.000, 0.333, 0.500), Zn at (0.000, 0.170, 0.269) and Zn at (0.000, 0.500, 0.264).

Crystalline Ca5ErZn6 at its relaxed geometry, computed with GGA-PBE.

The calculation puts the formation energy at -0.26 eV/atom.

The structure belongs to space group Cmmm (No. 65); the cell edges are 5.153, 15.420 and 7.331 Å and the angles 90.00°, 90.00° and 90.00°. The asymmetric unit holds Ca at (0.000, 0.000, 0.000), Ca at (0.000, 0.332, 0.500), Ca at (0.000, 0.333, 0.000), Er at (0.000, 0.000, 0.500), Zn at (0.000, 0.161, 0.258) and Zn at (0.000, 0.500, 0.266).

Crystalline CaErZn17 at its relaxed geometry, computed with GGA-PBE.

The calculation puts the formation energy at -0.20 eV/atom.

The structure belongs to space group R3m (No. 160, hexagonal axes); the cell edges are 9.0084, 9.0084 and 13.1700 Å and the angles 90.00°, 90.00° and 120.00°. The asymmetric unit holds Ca at (0.0000, 0.0000, 0.0000), Er at (0.0000, 0.0000, 0.6716), Zn at (0.0000, 0.0000, 0.2377), Zn at (0.0000, 0.0000, 0.4380), Zn at (0.0005, 0.2980, 0.3365), Zn at (0.0006, 0.5003, 0.8367), Zn at (0.0127, 0.5064, 0.4891) and Zn at (0.1700, 0.3400, 0.5178).

Crystalline Ca4ErZn5 at its relaxed geometry, computed with GGA-PBE.

The calculation puts the formation energy at -0.26 eV/atom.

The structure belongs to space group P4/mmm (No. 123); the cell edges are 3.640, 3.640 and 18.295 Å and the angles 90.00°, 90.00° and 90.00°. The asymmetric unit holds Ca at (0.000, 0.000, 0.102), Ca at (0.000, 0.000, 0.305), Er at (0.000, 0.000, 0.500), Zn at (0.500, 0.500, 0.000), Zn at (0.500, 0.500, 0.203) and Zn at (0.500, 0.500, 0.410).